The following is a PBE calculation of an optimized crystal structure of TlZnP, from Alexandria via LeMat-Bulk.

Cell lengths 4.0661, 4.0659, 10.3851 Å; angles 100.91, 90.00, 120.00 degrees
Sites, in units of the cell vectors:
Zn (0.8022, 0.6045, 0.4083)
Zn (0.1978, 0.3955, 0.5917)
Tl (0.6153, 0.2306, 0.8484)
Tl (0.3847, 0.7694, 0.1516)
P (0.8866, 0.7732, 0.6601)
P (0.1134, 0.2268, 0.3399)

Output
Formation energy from the elements ... -90 meV per atom
ρ ... 6.884 g cm⁻³
Final energy ... -18.64 eV/cell



The following is a PBE calculation of an optimized crystal structure of Tb7Pr4Tl, from Alexandria via LeMat-Bulk.

Cell lengths 5.9849, 8.6899, 9.7619 Å; angles 60.68, 72.15, 69.86 degrees
Sites, in units of the cell vectors:
Tb (0.0650, 0.5942, 0.2758)
Tb (0.1599, 0.0141, 0.6662)
Tb (0.7156, 0.4648, 0.1039)
Tb (0.8401, 0.9859, 0.3338)
Tb (0.5000, 0.0000, 0.0000)
Tb (0.9350, 0.4058, 0.7242)
Tb (0.2844, 0.5352, 0.8961)
Tl (0.0000, 0.0000, 0.0000)
Pr (0.2699, 0.1879, 0.2724)
Pr (0.5974, 0.2891, 0.5160)
Pr (0.4026, 0.7109, 0.4840)
Pr (0.7301, 0.8121, 0.7276)

Output
Formation energy from the elements ... 139 meV per atom
ρ ... 7.623 g cm⁻³
Final energy ... -52.23 eV/cell



The following is a PBE calculation of an optimized crystal structure of LaMg3W, from Alexandria via LeMat-Bulk.

Cell lengths 5.1902, 5.1902, 5.1902 Å; angles 90.00, 90.00, 90.00 degrees
Site moments in Bohr magnetons follow the coordinates.
Sites, in units of the cell vectors:
Mg (0.0000, 0.0000, 0.5000)  0.01
Mg (0.5000, 0.0000, 0.0000)  0.02
Mg (0.0000, 0.5000, 0.0000)  0.02
W (0.0000, 0.0000, 0.0000)  1.05
La (0.5000, 0.5000, 0.5000)  -0.08

Output
Formation energy from the elements ... 787 meV per atom
ρ ... 4.699 g cm⁻³
Final energy ... -18.73 eV/cell
ΔE to the lowest computed polymorph ... 0 meV/atom